# 1
Here is a relaxed structure of Dy6Sb3As2Pb from the Alexandria database. Energies are from PBE.

Cell: 18.660 4.278 8.675 Å, 90.00 102.11 90.00°
Space group C2/m (No. 12)
One atom of each set of equivalent atoms:
Dy1 0.008 0.000 0.261
Dy2 0.171 0.500 0.576
Dy3 0.172 0.500 0.103
Sb1 0.000 0.500 0.500
Sb2 0.162 0.000 0.835
As1 0.169 0.000 0.338
Pb1 0.000 0.500 0.000

Results
DFT total energy	-5.525	eV/atom
energy relative to the elements, uncorrected	-107.1	kJ per mole of atoms


# 2
Here is a relaxed structure of Dy4As2PbSe from the Alexandria database. Energies are from PBE.

Cell: 7.298 4.120 7.334 Å, 90.00 108.76 90.00°
Space group P2/m (No. 10)
One atom of each set of equivalent atoms:
Dy1 0.237 0.000 0.232
Dy2 0.253 0.500 0.764
As1 0.000 0.500 0.000
As2 0.500 0.000 0.000
Pb1 0.500 0.500 0.500
Se1 0.000 0.000 0.500

Results
DFT total energy	-5.692	eV/atom
energy relative to the elements, uncorrected	-128.3	kJ per mole of atoms


# 3
Here is a relaxed structure of Dy6TeAs2Pb3 from the Alexandria database. Energies are from PBE.

Cell: 19.400 4.152 8.997 Å, 90.00 109.86 90.00°
Space group C2/m (No. 12)
One atom of each set of equivalent atoms:
Dy1 0.011 0.000 0.253
Dy2 0.168 0.500 0.104
Dy3 0.175 0.500 0.561
Te1 0.000 0.500 0.000
As1 0.167 0.000 0.331
Pb1 0.000 0.500 0.500
Pb2 0.162 0.000 0.825

Results
DFT total energy	-5.210	eV/atom
energy relative to the elements, uncorrected	-91.2	kJ per mole of atoms


# 4
Here is a relaxed structure of DyAs2Pd4 from the Alexandria database. Energies are from PBE.

Cell: 4.303 13.399 4.348 Å, 90.00 90.00 90.00°
Space group Cmmm (No. 65)
One atom of each set of equivalent atoms:
Dy1 0.000 0.000 0.000
As1 0.000 0.408 0.500
Pd1 0.000 0.179 0.500
Pd2 0.000 0.324 0.000

Results
ΔE to the lowest computed polymorph	75	meV/atom
DFT total energy	-5.601	eV/atom
formation enthalpy at 0 K	-0.65	eV per atom


# 5
Here is a relaxed structure of Dy2As3Pd9 from the Alexandria database. Energies are from PBE.

Cell: 13.603 7.868 9.995 Å, 90.00 116.45 90.00°
Space group C2/c (No. 15)
One atom of each set of equivalent atoms:
Dy1 0.172 0.086 0.250
As1 0.086 0.236 0.500
As2 0.250 0.250 0.000
Pd1 0.000 0.366 0.250
Pd2 0.056 0.069 0.918
Pd3 0.104 0.319 0.746
Pd4 0.105 0.409 0.050
Pd5 0.229 0.409 0.421

Results
DFT total energy	-5.683	eV/atom
formation enthalpy at 0 K	-0.69	eV per atom


# 6
Here is a relaxed structure of DyAs4Pd12 from the Alexandria database. Energies are from PBE.

Cell: 8.562 8.562 8.562 Å, 90.00 90.00 90.00°
Space group Im-3 (No. 204)
One atom of each set of equivalent atoms:
Dy1 0.000 0.000 0.000
As1 0.250 0.250 0.250
Pd1 0.000 0.162 0.340

Results
DFT total energy	-5.301	eV/atom
formation enthalpy at 0 K	-0.27	eV per atom


| no. | calculated density (g/cm3) |
| --- | --- |
| 1 | 8.33 |
| 2 | 8.64 |
| 3 | 9.13 |
| 4 | 9.78 |
| 5 | 10.45 |
| 6 | 9.20 |